Entry from Alexandria: LaPa2NiN5 after structural relaxation (PBE-GGA). Values from VASP.

```
&SYSTEM
  ibrav = 0, nat = 18, ntyp = 4
/
ATOMIC_SPECIES
La 138.91 La.upf
Pa 231.04 Pa.upf
Ni 58.69 Ni.upf
N 14.01 N.upf
ATOMIC_POSITIONS crystal
La 0.2500 0.2500 0.5000
La 0.7500 0.7500 0.5000
Pa 0.1731 0.3269 0.0000
Pa 0.6731 0.1731 0.0000
Pa 0.3269 0.8269 0.0000
Pa 0.8269 0.6731 0.0000
Ni 0.2500 0.7500 0.5000
Ni 0.7500 0.2500 0.5000
N 0.9813 0.4813 0.2606
N 0.7207 0.2207 0.7394
N 0.0187 0.5187 0.7394
N 0.2207 0.0187 0.7394
N 0.5187 0.7207 0.7394
N 0.7793 0.9813 0.2606
N 0.4813 0.2793 0.2606
N 0.2793 0.7793 0.2606
N 0.5000 0.5000 0.0000
N 0.0000 0.0000 0.0000
CELL_PARAMETERS angstrom
6.5657 0.0000 0.0000
0.0000 6.5657 0.0000
-3.2828 -3.2828 5.6296
```

Results
The value obtained for the total magnetization is 1.808 μB per formula unit. The energy comes out at -9.13 eV per atom. The calculated volume is 242.68 Å³/cell. Its space group is I4/mcm (140). For the formation energy (no corrections), the calculation gives -1205 meV per atom.